NaAg2Sb2 | PBE | optimized geometry

## Properties
excess energy over the best structure of this formula in the dataset	0.070	eV/atom
formation energy (no corrections)	-0.045	eV/atom
energy	-3.10	eV per atom

Cell: 8.587 8.587 3.267 Å, 90.00 90.00 90.00°
Element x y z (fractional)
1 Na 0.000 0.000 0.000
2 Na 0.500 0.500 0.000
3 Ag 0.125 0.375 0.000
4 Ag 0.375 0.875 0.000
5 Ag 0.625 0.125 0.000
6 Ag 0.875 0.625 0.000
7 Sb 0.171 0.671 0.500
8 Sb 0.329 0.171 0.500
9 Sb 0.671 0.829 0.500
10 Sb 0.829 0.329 0.500

CeTaS3 | PBE | optimized geometry

## Properties
excess energy over the best structure of this formula in the dataset	0.005	eV/atom
formation energy (no corrections)	-1.465	eV/atom
energy	-7.50	eV per atom

Cell: 7.240 3.678 7.734 Å, 90.00 99.40 90.00°
Element x y z (fractional)
1 Ce 0.128 0.250 0.288
2 Ce 0.872 0.750 0.712
3 Ta 0.380 0.750 0.877
4 Ta 0.620 0.250 0.123
5 S 0.135 0.250 0.903
6 S 0.209 0.750 0.562
7 S 0.415 0.750 0.202
8 S 0.585 0.250 0.798
9 S 0.791 0.250 0.438
10 S 0.865 0.750 0.097

CrHS2 | PBE | optimized geometry

## Properties
excess energy over the best structure of this formula in the dataset	0.076	eV/atom
energy	-5.70	eV per atom

Cell: 4.851 3.360 16.265 Å, 90.00 90.00 90.00°
Element x y z (fractional)
1 Cr 0.178 0.250 0.044
2 Cr 0.322 0.750 0.544
3 Cr 0.678 0.250 0.456
4 Cr 0.822 0.750 0.956
5 H 0.035 0.250 0.671
6 H 0.465 0.750 0.171
7 H 0.535 0.250 0.829
8 H 0.965 0.750 0.329
9 S 0.195 0.750 0.150
10 S 0.217 0.250 0.451
11 S 0.283 0.750 0.951
12 S 0.305 0.250 0.650
13 S 0.695 0.750 0.350
14 S 0.717 0.250 0.049
15 S 0.783 0.750 0.549
16 S 0.805 0.250 0.850

Na2CePaO5 | PBE | optimized geometry

## Properties
formation energy (no corrections)	-2.650	eV/atom
energy	-7.41	eV per atom

Cell: 4.210 4.210 8.813 Å, 90.00 90.00 90.00°
Element x y z (fractional)
1 Na 0.000 0.000 0.237
2 Na 0.000 0.000 0.763
3 Ce 0.500 0.500 0.500
4 Pa 0.500 0.500 0.000
5 O 0.000 0.000 0.500
6 O 0.000 0.500 0.000
7 O 0.500 0.000 0.000
8 O 0.500 0.500 0.251
9 O 0.500 0.500 0.749

Tl7SnHg12 | PBE | optimized geometry

## Properties
E_form	2.0	kJ per mole of atoms
energy	-1.19	eV per atom

Cell: 8.358 8.358 8.358 Å, 93.28 93.28 93.28°
Element x y z (fractional)
1 Tl 0.000 0.000 0.000
2 Tl 0.110 0.432 0.344
3 Tl 0.344 0.110 0.432
4 Tl 0.432 0.344 0.110
5 Tl 0.568 0.656 0.890
6 Tl 0.656 0.890 0.568
7 Tl 0.890 0.568 0.656
8 Sn 0.500 0.500 0.500
9 Hg 0.018 0.877 0.356
10 Hg 0.123 0.644 0.982
11 Hg 0.247 0.373 0.753
12 Hg 0.247 0.753 0.627
13 Hg 0.356 0.018 0.877
14 Hg 0.373 0.753 0.247
15 Hg 0.627 0.247 0.753
16 Hg 0.644 0.982 0.123
17 Hg 0.753 0.247 0.373
18 Hg 0.753 0.627 0.247
19 Hg 0.877 0.356 0.018
20 Hg 0.982 0.123 0.644

Ba6HRhAu2 | PBE | optimized geometry

## Properties
energy	-3.32	eV per atom

Cell: 7.674 8.541 13.667 Å, 90.00 123.58 90.00°
Element x y z (fractional)
1 Ba 0.111 0.181 0.436
2 Ba 0.111 0.319 0.936
3 Ba 0.259 0.685 0.438
4 Ba 0.259 0.815 0.938
5 Ba 0.381 0.036 0.248
6 Ba 0.381 0.464 0.748
7 Ba 0.619 0.536 0.252
8 Ba 0.619 0.964 0.752
9 Ba 0.741 0.185 0.062
10 Ba 0.741 0.315 0.562
11 Ba 0.889 0.681 0.064
12 Ba 0.889 0.819 0.564
13 H 0.000 0.000 0.000
14 H 0.000 0.500 0.500
15 Rh 0.500 0.000 0.500
16 Rh 0.500 0.500 0.000
17 Au 0.201 0.108 0.750
18 Au 0.201 0.392 0.250
19 Au 0.799 0.608 0.750
20 Au 0.799 0.892 0.250

Number 1: DOS at the Fermi energy 0.381 states/eV/atom. Number 2: DOS at the Fermi energy 0.929 states/eV/atom. Number 3: DOS at the Fermi energy 0.367 states/eV/atom. Number 4: DOS at the Fermi energy 0.627 states/eV/atom. Number 5: DOS at the Fermi energy 0.461 states/eV/atom. Number 6: DOS at the Fermi energy 0.671 states/eV/atom.